Nd2Ho15Tm2 | Alexandria via LeMat-Bulk | PBE-GGA | relaxed; final energy = -4.309 eV per atom; formation enthalpy at 0 K = 0.28 eV/atom; Fermi-level density of states = 37.5 states/eV per cell
1.0
-5.930 -4.391 -4.577
4.268 -7.481 -1.102
-3.589 -4.669 6.380
Tm Ho Nd
2 15 2
direct
0.903 0.903 0.903
0.097 0.097 0.097
0.366 0.366 0.852
0.703 0.297 0.000
0.297 0.000 0.703
0.852 0.366 0.366
0.500 0.000 0.000
0.000 0.297 0.703
0.297 0.703 0.000
0.366 0.852 0.366
0.000 0.500 0.000
0.703 0.000 0.297
0.000 0.703 0.297
0.634 0.148 0.634
0.634 0.634 0.148
0.148 0.634 0.634
0.000 0.000 0.500
0.327 0.327 0.327
0.673 0.673 0.673